[1]
Entry from Alexandria: a geometry-optimized Sb2PCl structure (PBE).

Structure (CIF):
```
data_Sb2PCl
_space_group_name_H-M_alt 'P 4/m m m'
_space_group_IT_number 123
_space_group_name_Hall '-P 4 2'
_cell_length_a 3.522
_cell_length_b 3.522
_cell_length_c 7.476
_cell_angle_alpha 90.00
_cell_angle_beta 90.00
_cell_angle_gamma 90.00
loop_
_atom_site_label
_atom_site_type_symbol
_atom_site_fract_x
_atom_site_fract_y
_atom_site_fract_z
Sb1 Sb 0.000 0.000 0.203
P1 P 0.500 0.500 0.000
Cl1 Cl 0.500 0.500 0.500
```

Calculated values
Formation energy without anion corrections, kcal/mol of atoms: 0.57
ΔE to the lowest computed polymorph, meV per atom: 113.4
E_tot, eV for the cell shown: -15.4
Spin magnetization, μB per cell: 0.00

[2]
Entry from Alexandria: a geometry-optimized Sb2PCl structure (PBE).

Structure (CIF):
```
data_Sb2PCl
_space_group_name_H-M_alt 'I -4 m 2'
_space_group_IT_number 119
_space_group_name_Hall 'I -4 -2'
_cell_length_a 3.995
_cell_length_b 3.995
_cell_length_c 11.940
_cell_angle_alpha 90.00
_cell_angle_beta 90.00
_cell_angle_gamma 90.00
loop_
_atom_site_label
_atom_site_type_symbol
_atom_site_fract_x
_atom_site_fract_y
_atom_site_fract_z
Sb1 Sb 0.000 0.000 0.000
Sb2 Sb 0.000 0.500 0.250
P1 P 0.000 0.000 0.500
Cl1 Cl 0.000 0.500 0.750
```

Calculated values
Formation energy without anion corrections, kcal/mol of atoms: 7.70
ΔE to the lowest computed polymorph, meV per atom: 422.6
E_tot, eV for the cell shown: -28.3
Spin magnetization, μB per cell: 0.00

[3]
Entry from Alexandria: a geometry-optimized SbPCl structure (PBE).

Structure (CIF):
```
data_SbPCl
_space_group_name_H-M_alt 'P -6 m 2'
_space_group_IT_number 187
_space_group_name_Hall 'P -6 2'
_cell_length_a 4.8359
_cell_length_b 4.8359
_cell_length_c 3.0641
_cell_angle_alpha 90.00
_cell_angle_beta 90.00
_cell_angle_gamma 120.00
loop_
_atom_site_label
_atom_site_type_symbol
_atom_site_fract_x
_atom_site_fract_y
_atom_site_fract_z
Sb1 Sb 0.0000 0.0000 0.0000
P1 P 0.6667 0.3333 0.0000
Cl1 Cl 0.3333 0.6667 0.5000
```

Calculated values
Formation energy without anion corrections, kcal/mol of atoms: 4.62
ΔE to the lowest computed polymorph, meV per atom: 318.3
E_tot, eV for the cell shown: -10.8
Spin magnetization, μB per cell: 0.00

[4]
Entry from Alexandria: a geometry-optimized Sb2PCl structure (PBE).

Structure (CIF):
```
data_Sb2PCl
_space_group_name_H-M_alt 'C 1 m 1'
_space_group_IT_number 8
_cell_length_a 11.675
_cell_length_b 3.712
_cell_length_c 6.985
_cell_angle_alpha 90.00
_cell_angle_beta 104.92
_cell_angle_gamma 90.00
loop_
_space_group_symop_operation_xyz
'x,y,z'
'x,-y,z'
'x+1/2,y+1/2,z'
'x+1/2,-y+1/2,z'
loop_
_atom_site_label
_atom_site_type_symbol
_atom_site_fract_x
_atom_site_fract_y
_atom_site_fract_z
Sb1 Sb 0.000 0.000 0.000
Sb2 Sb 0.177 0.500 0.314
P1 P 0.455 0.000 0.231
Cl1 Cl 0.219 0.000 0.611
```

Calculated values
Formation energy without anion corrections, kcal/mol of atoms: -2.04
ΔE to the lowest computed polymorph, meV per atom: 0.0
E_tot, eV for the cell shown: -31.7
Spin magnetization, μB per cell: 0.00

[5]
Entry from Alexandria: a geometry-optimized SbPCl structure (PBE).

Structure (CIF):
```
data_SbPCl
_space_group_name_H-M_alt 'I m a 2'
_space_group_IT_number 46
_cell_length_a 10.457
_cell_length_b 15.934
_cell_length_c 6.504
_cell_angle_alpha 90.00
_cell_angle_beta 90.00
_cell_angle_gamma 90.00
loop_
_space_group_symop_operation_xyz
'x,y,z'
'-x,-y,z'
'-x+1/2,y,z'
'x+1/2,-y,z'
'x+1/2,y+1/2,z+1/2'
'-x+1/2,-y+1/2,z+1/2'
'-x,y+1/2,z+1/2'
'x,-y+1/2,z+1/2'
loop_
_atom_site_label
_atom_site_type_symbol
_atom_site_fract_x
_atom_site_fract_y
_atom_site_fract_z
Sb1 Sb 0.003 0.245 0.000
Sb2 Sb 0.250 0.011 0.141
P1 P 0.000 0.000 0.877
P2 P 0.030 0.092 0.123
Cl1 Cl 0.250 0.208 0.515
Cl2 Cl 0.250 0.530 0.005
Cl3 Cl 0.250 0.705 0.493
```

Calculated values
Formation energy without anion corrections, kcal/mol of atoms: -2.72
ΔE to the lowest computed polymorph, meV per atom: 0.0
E_tot, eV for the cell shown: -140.8
Spin magnetization, μB per cell: 0.00

[6]
Entry from Alexandria: a geometry-optimized Sb2PCl structure (PBE).

Structure (CIF):
```
data_Sb2PCl
_space_group_name_H-M_alt 'C 1 2/m 1'
_space_group_IT_number 12
_cell_length_a 7.771
_cell_length_b 8.378
_cell_length_c 3.079
_cell_angle_alpha 90.00
_cell_angle_beta 90.29
_cell_angle_gamma 90.00
loop_
_space_group_symop_operation_xyz
'x,y,z'
'-x,-y,-z'
'-x,y,-z'
'x,-y,z'
'x+1/2,y+1/2,z'
'-x+1/2,-y+1/2,-z'
'-x+1/2,y+1/2,-z'
'x+1/2,-y+1/2,z'
loop_
_atom_site_label
_atom_site_type_symbol
_atom_site_fract_x
_atom_site_fract_y
_atom_site_fract_z
Sb1 Sb 0.250 0.250 0.000
P1 P 0.000 0.000 0.000
Cl1 Cl 0.000 0.500 0.000
```

Calculated values
Formation energy without anion corrections, kcal/mol of atoms: 2.73
ΔE to the lowest computed polymorph, meV per atom: 207.0
E_tot, eV for the cell shown: -30.1
Spin magnetization, μB per cell: 0.00